Record 1
## HfTi2AuN (PBE-GGA)

Data for crystalline HfTi2AuN at its relaxed geometry.

POSCAR file:
```
HfTi2AuN
1.0
4.149 0.000 0.000
0.000 4.149 0.000
0.000 0.000 4.417
Hf Ti Au N
1 2 1 1
Direct
0.000 0.000 0.000
0.000 0.500 0.500
0.500 0.000 0.500
0.500 0.500 0.000
0.000 0.000 0.500
```

Computed properties:
ΔE_f (raw)   -1.012 eV per atom
Symmetry   P4/mmm (123)
Size of the total moment   0.9 μB/f.u.

=====

Record 2
## Hf2TiAuN (PBE-GGA)

Data for crystalline Hf2TiAuN at its relaxed geometry.

POSCAR file:
```
Hf2TiAuN
1.0
4.427 0.000 0.000
0.000 4.427 0.000
0.000 0.000 4.124
Hf Ti Au N
2 1 1 1
Direct
0.000 0.500 0.000
0.500 0.000 0.000
0.000 0.000 0.500
0.500 0.500 0.500
0.000 0.000 0.000
```

Computed properties:
ΔE_f (raw)   -0.995 eV per atom
Symmetry   P4/mmm (123)
Size of the total moment   0.8 μB/f.u.

=====

Record 3
## HfTlAu2N (PBE-GGA)

Data for crystalline HfTlAu2N at its relaxed geometry.

POSCAR file:
```
HfTlAu2N
1.0
5.327 0.000 0.000
0.000 5.327 0.000
0.000 0.000 3.962
Hf Tl Au N
1 1 2 1
Direct
0.000 0.000 0.000
0.500 0.500 0.500
0.000 0.500 0.500
0.500 0.000 0.500
0.500 0.500 0.000
```

Computed properties:
ΔE_f (raw)   1.298 eV per atom
Symmetry   P4/mmm (123)
Size of the total moment   0.0 μB/f.u.